This record from the Alexandria database describes a geometry-optimized AgBi2Mo2 structure. The functional is PBE.

## Properties
ρ   9.8 g/cm³
M_tot   0.00 μB/atom
Space-group type   I4/mmm, No. 139
E   -5.713 eV/atom
Formation energy   358 kJ/mol of formula units

abc: 5.461 5.461 5.608
angles: 60.86 60.86 90.00
Element x y z (fractional)
Mo 0.368 0.368 0.264
Mo 0.632 0.632 0.736
Bi 0.750 0.250 0.500
Bi 0.250 0.750 0.500
Ag 0.000 0.000 0.000

---

This record from the Alexandria database describes a geometry-optimized AgBiMo3 structure. The functional is PBE.

## Properties
ρ   8.6 g/cm³
M_tot   0.78 μB/atom
Space-group type   Pm-3m, No. 221
E   -5.666 eV/atom
Formation energy   1051 kJ/mol of formula units

abc: 4.891 4.891 4.891
angles: 90.00 90.00 90.00
Site moments in Bohr magnetons follow the coordinates.
Element x y z (fractional)
Mo 0.000 0.500 0.000  0.99
Mo 0.000 0.000 0.500  1.38
Mo 0.500 0.000 0.000  1.05
Bi 0.500 0.500 0.500  -0.10
Ag 0.000 0.000 0.000  0.08

---

This record from the Alexandria database describes a geometry-optimized AgBi2Mo structure. The functional is PBE.

## Properties
ρ   11.1 g/cm³
M_tot   0.59 μB/atom
Space-group type   Fm-3m, No. 225
E   -4.753 eV/atom
Formation energy   235 kJ/mol of formula units

abc: 5.086 5.086 5.086
angles: 60.00 60.00 60.00
Site moments in Bohr magnetons follow the coordinates.
Element x y z (fractional)
Mo 0.000 0.000 0.000  1.98
Bi 0.250 0.250 0.250  -0.04
Bi 0.750 0.750 0.750  -0.04
Ag 0.500 0.500 0.500  0.04

---

This record from the Alexandria database describes a geometry-optimized NaAgBiMo2 structure. The functional is PBE.

## Properties
ρ   7.4 g/cm³
M_tot   1.27 μB/atom
Space-group type   P4/mmm, No. 123
E   -4.010 eV/atom
Formation energy   932 kJ/mol of formula units

abc: 5.033 4.710 5.033
angles: 90.00 90.00 90.00
Site moments in Bohr magnetons follow the coordinates.
Element x y z (fractional)
Na 0.000 0.000 0.000  0.04
Mo 0.000 0.000 0.500  2.68
Mo 0.500 0.000 0.000  2.72
Bi 0.500 0.500 0.500  -0.17
Ag 0.000 0.500 0.000  0.04